A plane-wave DFT calculation with PBE+U was carried out for a geometry-optimized Ca2BeWO6 structure.

Lattice parameters (Å, degrees): 5.365 5.415 9.210 90.00 125.63 90.00
Space group P2_1/c (No. 14)
Unique sites:
Ca 0.246 0.034 0.251 x4
Be 0.500 0.000 0.000 x2
W 0.000 0.000 0.500 x2
O 0.182 0.214 0.966 x4
O 0.253 0.717 0.966 x4
O 0.321 0.013 0.757 x4

Values from the calculation:
E = -139.886 eV for the cell shown